This record from OQMD describes AcZrAsO after structural relaxation. The functional is PBE-GGA.

a = 4.3638 Å, b = 4.3638 Å, c = 9.4759 Å
α = 90.00°, β = 90.00°, γ = 90.00°
Positions (direct):
Ac 0.2500 0.2500 0.1273
Ac 0.7500 0.7500 0.8727
Zr 0.2500 0.7500 0.5000
Zr 0.7500 0.2500 0.5000
As 0.2500 0.2500 0.6757
As 0.7500 0.7500 0.3243
O 0.2500 0.7500 0.0000
O 0.7500 0.2500 0.0000

Results
The excess energy over the best structure of this formula in the dataset comes out at 0 meV per atom. The calculation puts the calculated total energy at -0.557 Ry per atom. As for the crystal system: tetragonal.